Compound: TaSi2Br
Source: Alexandria via LeMat-Bulk
Functional: PBE
Structure: optimized geometry

Results
- Polymorph energy (0 for the lowest one): 0.47 eV per formula unit
- Space group: P2/m, No. 10

The structure in POSCAR format:
```
TaSi2Br
1.0
3.5044 0.0000 0.0000
0.0000 3.1097 0.0000
-0.0147 0.0000 7.1952
Ta Si Br
1 2 1
direct
0.0000 0.0000 0.0000
0.4993 0.5000 0.8179
0.5007 0.5000 0.1821
0.5000 0.0000 0.5000
```

=====

Compound: Na4ZnBi3S8
Source: Alexandria via LeMat-Bulk
Functional: PBE
Structure: optimized geometry

Results
- Space group: C2/m, No. 12

The structure in POSCAR format:
```
Na4ZnBi3S8
1.0
6.8573 -3.9562 0.0000
6.8573 3.9562 0.0000
-4.5717 0.0000 6.8042
Na Zn Bi S
4 1 3 8
direct
0.0000 0.0000 0.0000
0.0000 0.5000 0.0000
0.5000 0.0000 0.0000
0.5000 0.5000 0.0000
0.0000 0.0000 0.5000
0.0000 0.5000 0.5000
0.5000 0.0000 0.5000
0.5000 0.5000 0.5000
0.2319 0.7605 0.7243
0.2332 0.2332 0.7255
0.2395 0.7681 0.2757
0.2527 0.2527 0.2580
0.7473 0.7473 0.7420
0.7605 0.2319 0.7243
0.7668 0.7668 0.2745
0.7681 0.2395 0.2757
```

=====

Looking at energy relative to the elements, uncorrected for the records above, in order, we have 137.2, -683.4 meV per atom.